[1]
Here is a geometry-optimized Ti2Ga2Se structure from the Alexandria database. Energies are from PBE.

The structure in CIF format:
```
data_Ti2Ga2Se
_cell_length_a 6.656
_cell_length_b 6.656
_cell_length_c 3.990
_cell_angle_alpha 90.00
_cell_angle_beta 90.00
_cell_angle_gamma 90.00
_space_group_name_H-M_alt 'P 4/m b m'
_space_group_IT_number 127
_space_group_name_Hall '-P 4 2ab'
loop_
_atom_site_label
_atom_site_type_symbol
_atom_site_fract_x
_atom_site_fract_y
_atom_site_fract_z
_atom_site_occupancy
Ti1 Ti 0.169 0.331 0.000 1
Ga1 Ga 0.137 0.637 0.500 1
Se1 Se 0.000 0.000 0.000 1
```

[2]
# TiGa3Se (PBE, optimized geometry)
data_TiGa3Se
_cell_length_a 5.069
_cell_length_b 5.069
_cell_length_c 5.069
_cell_angle_alpha 90.00
_cell_angle_beta 90.00
_cell_angle_gamma 90.00
_space_group_name_H-M_alt 'P m -3 m'
_space_group_IT_number 221
_space_group_name_Hall '-P 4 2 3'
loop_
_atom_site_label
_atom_site_type_symbol
_atom_site_fract_x
_atom_site_fract_y
_atom_site_fract_z
_atom_site_occupancy
Ti1 Ti 0.000 0.000 0.000 1
Ga1 Ga 0.000 0.000 0.500 1
Se1 Se 0.500 0.500 0.500 1
# E above lowest polymorph: 0.000 eV/atom

[3]
Here is a geometry-optimized Ti3Ga5Se12 structure from the Alexandria database. Energies are from PBE.

The structure in CIF format:
```
data_Ti3Ga5Se12
_cell_length_a 15.364
_cell_length_b 15.364
_cell_length_c 15.364
_cell_angle_alpha 90.00
_cell_angle_beta 90.00
_cell_angle_gamma 90.00
_space_group_name_H-M_alt 'I a -3 d'
_space_group_IT_number 230
_space_group_name_Hall '-I 4bd 2c 3'
loop_
_atom_site_label
_atom_site_type_symbol
_atom_site_fract_x
_atom_site_fract_y
_atom_site_fract_z
_atom_site_occupancy
Ti1 Ti 0.000 0.250 0.125 1
Ga1 Ga 0.000 0.000 0.000 1
Ga2 Ga 0.000 0.250 0.375 1
Se1 Se 0.021 0.068 0.654 1
```

no.,mass density (g/cm3),E_form (uncorrected) (eV per formula unit)
1,5.9,-2.6
2,4.3,2.7
3,5.3,-11.3